Entry 1:
# ReSiRu

A relaxed structure of ReSiRu (PBE, Alexandria via LeMat-Bulk).

Results
The space-group type is Fmm2. As for the formation energy without anion corrections: 0.13 eV per atom. The calculation puts the distance to the lowest polymorph of the same formula at 402 meV/atom.

Cell lengths 6.6225, 6.3559, 2.7665 Å; angles 83.15, 72.34, 24.50 degrees
With the nearest neighbours (Å) after each atom.
Element x y z (fractional)
Re (0.0075, 0.0075, 0.9925)  2 Si 2.48, 2 Ru 2.71, 4 Re 2.77
Si (0.6703, 0.6703, 0.3297)  2 Ru 2.37, 2 Re 2.48
Ru (0.3222, 0.3222, 0.6778)  2 Si 2.37

***

Entry 2:
# LiLa2Ni3Sb4

A relaxed structure of LiLa2Ni3Sb4 (PBE, Alexandria via LeMat-Bulk).

Results
The space-group type is P-4m2. As for the formation energy without anion corrections: -0.74 eV per atom.

Cell lengths 4.5485, 4.5485, 10.1897 Å; angles 90.00, 90.00, 90.00 degrees
With the nearest neighbours (Å) after each atom.
Element x y z (fractional)
Sb (0.0000, 0.0000, 0.0000)  4 Ni 2.57
Sb (0.5000, 0.5000, 0.0000)  4 Ni 2.57
Sb (0.0000, 0.5000, 0.3671)  3 Ni 2.54-2.65, 2 Li 2.65
Sb (0.5000, 0.0000, 0.6329)  3 Ni 2.54-2.65, 2 Li 2.65
La (0.0000, 0.5000, 0.7463)  2 Li 3.39, 7 Ni 3.39-3.78, 8 Sb 3.42-3.44
La (0.5000, 0.0000, 0.2537)  2 Li 3.39, 7 Ni 3.39-3.78, 8 Sb 3.42-3.44
Ni (0.5000, 0.0000, 0.8825)  5 Sb 2.54-2.57
Ni (0.0000, 0.0000, 0.5000)  4 Sb 2.65
Ni (0.0000, 0.5000, 0.1175)  5 Sb 2.54-2.57
Li (0.5000, 0.5000, 0.5000)  4 Sb 2.65

***

Entry 3:
# Ag2ICl

A relaxed structure of Ag2ICl (PBE, Alexandria via LeMat-Bulk).

Results
The space-group type is Fm-3m. As for the formation energy without anion corrections: -0.10 eV per atom. The calculation puts the distance to the lowest polymorph of the same formula at 243 meV/atom.

Cell lengths 5.1306, 5.1306, 5.1306 Å; angles 60.00, 60.00, 60.00 degrees
With the nearest neighbours (Å) after each atom.
Element x y z (fractional)
Ag (0.7500, 0.7500, 0.7500)  4 I 3.14, 4 Cl 3.14
Ag (0.2500, 0.2500, 0.2500)  4 I 3.14, 4 Cl 3.14
Cl (0.0000, 0.0000, 0.0000)  8 Ag 3.14
I (0.5000, 0.5000, 0.5000)  8 Ag 3.14

***

Entry 4:
# Ba2ScSe3

A relaxed structure of Ba2ScSe3 (PBE, Alexandria via LeMat-Bulk).

Results
The space-group type is Immm. As for the formation energy without anion corrections: -1.78 eV per atom.

Cell lengths 4.4383, 5.2083, 9.1598 Å; angles 106.52, 104.02, 90.00 degrees
With the nearest neighbours (Å) after each atom.
Element x y z (fractional)
Se (0.1589, 0.1589, 0.3178)  1 Sc 2.70
Se (0.0000, 0.5000, 0.0000)  2 Sc 2.60
Se (0.8411, 0.8411, 0.6822)  1 Sc 2.70
Sc (0.0000, 0.0000, 0.0000)  4 Se 2.60-2.70
Ba (0.6474, 0.6474, 0.2947)  7 Se 3.29-3.43
Ba (0.3526, 0.3526, 0.7053)  7 Se 3.29-3.43

***

Entry 5:
# Ga2IrBr

A relaxed structure of Ga2IrBr (PBE, Alexandria via LeMat-Bulk).

Results
The space-group type is Fm-3m. As for the formation energy without anion corrections: 0.54 eV per atom. The calculation puts the distance to the lowest polymorph of the same formula at 520 meV/atom.

Cell lengths 4.7269, 4.7269, 4.7269 Å; angles 60.00, 60.00, 60.00 degrees
With the nearest neighbours (Å) after each atom.
Element x y z (fractional)
Br (0.0000, 0.0000, 0.0000)  8 Ga 2.89
Ga (0.7500, 0.7500, 0.7500)  4 Br 2.89, 4 Ir 2.89
Ga (0.2500, 0.2500, 0.2500)  4 Br 2.89, 4 Ir 2.89
Ir (0.5000, 0.5000, 0.5000)  8 Ga 2.89

***

Entry 6:
# Cd5Fe3

A relaxed structure of Cd5Fe3 (PBE, Alexandria via LeMat-Bulk).

Results
The space-group type is P-1. The calculation puts the distance to the lowest polymorph of the same formula at 0 meV/atom.

Cell lengths 7.6909, 7.1469, 8.5457 Å; angles 127.36, 126.93, 57.07 degrees
With the nearest neighbours (Å) after each atom.
Element x y z (fractional)
Fe (0.1562, 0.0286, 0.8309)  3 Fe 2.37-2.58
Fe (0.1174, 0.6002, 0.1991)  3 Fe 2.37-2.52
Fe (0.9230, 0.8527, 0.4422)  4 Fe 2.36-2.58
Fe (0.8834, 0.4000, 0.8019)  3 Fe 2.37-2.52
Fe (0.8444, 0.9715, 0.1698)  3 Fe 2.37-2.58
Fe (0.0777, 0.1469, 0.5584)  4 Fe 2.36-2.58
Cd (0.5160, 0.2246, 0.3319)  3 Fe 2.79-2.91, 5 Cd 2.99-3.08
Cd (0.4848, 0.7755, 0.6689)  3 Fe 2.79-2.91, 5 Cd 2.99-3.08
Cd (0.4134, 0.3090, 0.9707)  4 Fe 2.79-3.03, 4 Cd 2.94-3.05
Cd (0.6774, 0.0972, 0.6934)  3 Fe 2.75-2.95, 5 Cd 2.82-3.08
Cd (0.5874, 0.6910, 0.0300)  4 Fe 2.79-3.04, 4 Cd 2.94-3.05
Cd (0.2513, 0.4860, 0.5942)  3 Fe 2.82-3.14, 7 Cd 2.86-3.10
Cd (0.9778, 0.2747, 0.1349)  2 Fe 2.71-2.80, 5 Cd 2.84-2.99
Cd (0.7498, 0.5140, 0.4066)  3 Fe 2.82-3.14, 7 Cd 2.86-3.10
Cd (0.3235, 0.9028, 0.3075)  3 Fe 2.75-2.95, 5 Cd 2.82-3.08
Cd (0.0232, 0.7252, 0.8659)  2 Fe 2.71-2.80, 5 Cd 2.84-2.99

***

Entry 7:
# VAgTe2I

A relaxed structure of VAgTe2I (PBE, Alexandria via LeMat-Bulk).

Results
The space-group type is P4/mmm. As for the formation energy without anion corrections: 0.26 eV per atom. The calculation puts the distance to the lowest polymorph of the same formula at 0 meV/atom.

Cell lengths 5.1445, 5.1445, 5.9392 Å; angles 90.00, 90.00, 90.00 degrees
With the nearest neighbours (Å) after each atom.
Element x y z (fractional)
Te (0.5000, 0.0000, 0.0000)  2 V 2.57
Te (0.0000, 0.5000, 0.0000)  2 V 2.57
V (0.0000, 0.0000, 0.0000)  4 Te 2.57
Ag (0.5000, 0.5000, 0.5000)  4 I 3.64, 8 Te 3.93
I (0.0000, 0.0000, 0.5000)  2 V 2.97

***

Entry 8:
# CsCe2CdS5

A relaxed structure of CsCe2CdS5 (PBE, Alexandria via LeMat-Bulk).

Results
The space-group type is I4/mcm. As for the formation energy without anion corrections: -1.49 eV per atom.

Cell lengths 7.9311, 7.9311, 9.2691 Å; angles 115.33, 115.33, 90.00 degrees
With the nearest neighbours (Å) after each atom.
Element x y z (fractional)
Ce (0.3356, 0.8356, 0.0000)  8 S 2.76-3.00
Ce (0.8356, 0.6644, 0.0000)  8 S 2.76-3.00
Ce (0.1644, 0.3356, 0.0000)  8 S 2.76-3.00
Ce (0.6644, 0.1644, 0.0000)  8 S 2.76-3.00
S (0.7382, 0.2382, 0.7647)  1 Cd 2.54, 1 Ce 2.76
S (0.2618, 0.7618, 0.2353)  1 Cd 2.54, 1 Ce 2.76
S (0.0000, 0.0000, 0.0000)  4 Ce 2.96
S (0.5000, 0.5000, 0.0000)  4 Ce 2.96
S (0.0264, 0.5264, 0.7647)  1 Cd 2.54, 1 Ce 2.76
S (0.4736, 0.2618, 0.2353)  1 Cd 2.54, 1 Ce 2.76
S (0.7618, 0.9736, 0.2353)  1 Cd 2.54, 1 Ce 2.76
S (0.5264, 0.7382, 0.7647)  1 Cd 2.54, 1 Ce 2.76
S (0.9736, 0.4736, 0.2353)  1 Cd 2.54, 1 Ce 2.76
S (0.2382, 0.0264, 0.7647)  1 Cd 2.54, 1 Ce 2.76
Cs (0.7500, 0.7500, 0.5000)  10 S 3.62-3.69, 4 Cd 3.97
Cs (0.2500, 0.2500, 0.5000)  10 S 3.62-3.69, 4 Cd 3.97
Cd (0.2500, 0.7500, 0.5000)  4 S 2.54
Cd (0.7500, 0.2500, 0.5000)  4 S 2.54